# 1
TmAgAsO (PBE-GGA, optimized geometry); space-group type = Pmc2_1, No. 26; energy relative to the lowest polymorph listed for this composition = 0.343 eV per atom
1.0
3.6200 0.0000 0.0000
0.0000 7.9130 0.0000
0.0000 0.0000 5.9230
O Tm Ag As
2 2 2 2
direct
0.5000 0.3320 0.4362
0.5000 0.6680 0.9362
0.0000 0.7943 0.9321
0.0000 0.2057 0.4321
0.5000 0.3843 0.9536
0.5000 0.6157 0.4536
0.0000 0.8424 0.4321
0.0000 0.1576 0.9321

---

# 2
Y2HoBi3 (PBE-GGA, optimized geometry); E = -35.00 eV per cell; space-group type = P-3m1, No. 164
1.0
4.4568 0.0000 0.0000
-2.2284 3.8597 0.0000
0.0000 0.0000 10.9787
Bi Ho Y
3 1 2
direct
0.6667 0.3333 0.6662
0.3333 0.6667 0.3338
0.0000 0.0000 0.0000
0.0000 0.0000 0.5000
0.3333 0.6667 0.8333
0.6667 0.3333 0.1667

---

# 3
HfPtNO (PBE-GGA, optimized geometry); space-group type = Pca2_1, No. 29; energy relative to the lowest polymorph listed for this composition = 0.034 eV per atom
1.0
-2.0109 3.6864 3.2275
-6.5225 -0.8923 -3.0447
-1.1376 -3.7047 3.5227
N Pt O Hf
4 4 4 4
direct
0.3965 0.2085 0.2265
0.6035 0.7915 0.7265
0.8965 0.7915 0.2265
0.1035 0.2085 0.7265
0.9968 0.0193 0.9900
0.0032 0.9807 0.4900
0.5032 0.0193 0.4900
0.4968 0.9807 0.9900
0.2353 0.5410 0.6101
0.7647 0.4590 0.1101
0.7353 0.4590 0.6101
0.2647 0.5410 0.1101
0.4505 0.3498 0.8758
0.5495 0.6502 0.3758
0.9505 0.6502 0.8758
0.0495 0.3498 0.3758

---

# 4
LuSi2IrPd (PBE-GGA, optimized geometry); E = -68.08 eV per cell; space-group type = P4/nmm, No. 129
1.0
-3.8871 -0.2162 1.1322
0.6955 -3.6158 1.6973
2.2913 4.5402 8.7333
Si Ir Lu Pd
4 2 2 2
direct
0.0000 0.0000 0.5000
0.5000 0.5000 0.5000
0.0000 0.5000 0.8709
0.5000 0.0000 0.1291
0.0000 0.0000 0.0000
0.5000 0.5000 0.0000
0.5000 0.0000 0.7536
0.0000 0.5000 0.2464
0.5000 0.0000 0.3643
0.0000 0.5000 0.6357